Version a
Compound: Pu5Pd2Pt2
Source: the Alexandria database
Functional: PBE
Structure: relaxed Values from VASP.

- DOS(E_F) (states/eV per atom) = 4.7724
- M_tot (μB/atom) = 3.12

```
&SYSTEM
  ibrav = 0, nat = 18, ntyp = 3
/
ATOMIC_SPECIES
Pu 244.00 Pu.upf
Pd 106.42 Pd.upf
Pt 195.08 Pt.upf
ATOMIC_POSITIONS crystal
Pu 0.000 0.000 0.000
Pu 0.500 0.500 0.000
Pu 0.830 0.814 0.275
Pu 0.170 0.461 0.275
Pu 0.330 0.961 0.275
Pu 0.670 0.314 0.275
Pu 0.170 0.186 0.725
Pu 0.830 0.539 0.725
Pu 0.670 0.039 0.725
Pu 0.330 0.686 0.725
Pd 0.000 0.209 0.418
Pd 0.500 0.709 0.418
Pd 0.000 0.791 0.582
Pd 0.500 0.291 0.582
Pt 0.630 0.871 0.000
Pt 0.370 0.129 0.000
Pt 0.130 0.629 0.000
Pt 0.870 0.371 0.000
CELL_PARAMETERS angstrom
7.614 0.000 0.000
0.000 6.794 -3.493
0.000 -0.050 8.257
```


Version b
Compound: Pu5Pd2Pt2
Source: the Alexandria database
Functional: PBE
Structure: relaxed Values from VASP.

- DOS(E_F) (states/eV per atom) = 4.6111
- M_tot (μB/atom) = 0.66

```
&SYSTEM
  ibrav = 0, nat = 18, ntyp = 3
/
ATOMIC_SPECIES
Pu 244.00 Pu.upf
Pd 106.42 Pd.upf
Pt 195.08 Pt.upf
ATOMIC_POSITIONS crystal
Pu 0.242 0.620 0.883
Pu 0.758 0.737 0.117
Pu 0.141 0.120 0.883
Pu 0.859 0.237 0.117
Pu 0.286 0.062 0.317
Pu 0.714 0.746 0.683
Pu 0.531 0.562 0.317
Pu 0.469 0.246 0.683
Pu 0.044 0.860 0.500
Pu 0.956 0.360 0.500
Pd 0.145 0.544 0.173
Pd 0.855 0.371 0.827
Pd 0.528 0.044 0.173
Pd 0.472 0.871 0.827
Pt 0.000 0.836 0.000
Pt 0.500 0.336 0.000
Pt 0.297 0.560 0.500
Pt 0.703 0.060 0.500
CELL_PARAMETERS angstrom
8.348 0.000 0.000
0.000 6.172 0.000
-4.174 -3.086 8.065
```


It is version a that is the most stable of them.


Version a
Compound: Pu5PdPt2
Source: the Alexandria database
Functional: PBE
Structure: relaxed Values from VASP.

- DOS(E_F) (states/eV per atom) = 4.2597
- M_tot (μB/atom) = 2.19

```
&SYSTEM
  ibrav = 0, nat = 16, ntyp = 3
/
ATOMIC_SPECIES
Pu 244.00 Pu.upf
Pd 106.42 Pd.upf
Pt 195.08 Pt.upf
ATOMIC_POSITIONS crystal
Pu 0.500 0.405 0.121
Pu 0.500 0.595 0.879
Pu 0.500 0.905 0.379
Pu 0.500 0.095 0.621
Pu 0.000 0.812 0.746
Pu 0.000 0.188 0.254
Pu 0.000 0.312 0.754
Pu 0.000 0.688 0.246
Pu 0.000 0.500 0.500
Pu 0.000 0.000 0.000
Pd 0.000 0.000 0.500
Pd 0.000 0.500 0.000
Pt 0.500 0.409 0.374
Pt 0.500 0.591 0.626
Pt 0.500 0.091 0.874
Pt 0.500 0.909 0.126
CELL_PARAMETERS angstrom
-0.034 -1.135 -5.026
-1.884 -5.466 1.247
-11.097 3.654 -0.750
```


Version b
Compound: Pu5PdPt2
Source: the Alexandria database
Functional: PBE
Structure: relaxed Values from VASP.

- DOS(E_F) (states/eV per atom) = 2.6226
- M_tot (μB/atom) = 0.00

```
&SYSTEM
  ibrav = 0, nat = 8, ntyp = 3
/
ATOMIC_SPECIES
Pu 244.00 Pu.upf
Pd 106.42 Pd.upf
Pt 195.08 Pt.upf
ATOMIC_POSITIONS crystal
Pu 0.675 0.249 0.924
Pu 0.249 0.249 0.924
Pu 0.675 0.675 0.924
Pu 0.249 0.675 0.924
Pu 0.831 0.831 0.662
Pd 0.170 0.170 0.339
Pt 0.214 0.714 0.428
Pt 0.714 0.214 0.428
CELL_PARAMETERS angstrom
-4.753 -2.655 -1.449
1.475 -4.391 3.207
-0.465 5.376 2.626
```


It is version a that is the most stable of them.


Version a
Compound: PuThPdPt
Source: the Alexandria database
Functional: PBE
Structure: relaxed Values from VASP.

- DOS(E_F) (states/eV per atom) = 3.2963
- M_tot (μB/atom) = 1.40

```
&SYSTEM
  ibrav = 0, nat = 4, ntyp = 4
/
ATOMIC_SPECIES
Pu 244.00 Pu.upf
Th 232.04 Th.upf
Pd 106.42 Pd.upf
Pt 195.08 Pt.upf
ATOMIC_POSITIONS crystal
Pu 0.864 0.500 0.727
Th 0.137 0.000 0.275
Pd 0.591 0.500 0.181
Pt 0.408 0.000 0.817
CELL_PARAMETERS angstrom
3.907 0.000 0.000
0.000 4.457 0.000
-1.954 0.000 5.460
```


Version b
Compound: PuThPdPt
Source: the Alexandria database
Functional: PBE
Structure: relaxed Values from VASP.

- DOS(E_F) (states/eV per atom) = 2.9292
- M_tot (μB/atom) = 1.45

```
&SYSTEM
  ibrav = 0, nat = 4, ntyp = 4
/
ATOMIC_SPECIES
Pd 106.42 Pd.upf
Pt 195.08 Pt.upf
Th 232.04 Th.upf
Pu 244.00 Pu.upf
ATOMIC_POSITIONS crystal
Pd 0.250 0.250 0.250
Pt 0.750 0.750 0.750
Th 0.000 0.000 0.000
Pu 0.500 0.500 0.500
CELL_PARAMETERS angstrom
-0.292 4.454 2.377
-0.502 0.154 5.029
3.843 1.587 2.877
```


It is version a that is the most stable of them.


Version a
Compound: YPuPdPt
Source: the Alexandria database
Functional: PBE
Structure: relaxed Values from VASP.

- DOS(E_F) (states/eV per atom) = 3.4303
- M_tot (μB/atom) = 1.41

```
&SYSTEM
  ibrav = 0, nat = 4, ntyp = 4
/
ATOMIC_SPECIES
Y 88.91 Y.upf
Pu 244.00 Pu.upf
Pd 106.42 Pd.upf
Pt 195.08 Pt.upf
ATOMIC_POSITIONS crystal
Y 0.139 0.000 0.278
Pu 0.861 0.500 0.722
Pd 0.413 0.000 0.826
Pt 0.588 0.500 0.175
CELL_PARAMETERS angstrom
3.788 0.000 0.000
0.000 4.462 0.000
-1.894 0.000 5.363
```


Version b
Compound: YPuPdPt
Source: the Alexandria database
Functional: PBE
Structure: relaxed Values from VASP.

- DOS(E_F) (states/eV per atom) = 3.0856
- M_tot (μB/atom) = 1.43

```
&SYSTEM
  ibrav = 0, nat = 4, ntyp = 4
/
ATOMIC_SPECIES
Y 88.91 Y.upf
Pd 106.42 Pd.upf
Pt 195.08 Pt.upf
Pu 244.00 Pu.upf
ATOMIC_POSITIONS crystal
Y 0.500 0.500 0.500
Pd 0.750 0.750 0.750
Pt 0.250 0.250 0.250
Pu 0.000 0.000 0.000
CELL_PARAMETERS angstrom
4.974 0.000 0.000
2.487 4.308 0.000
2.487 1.436 4.062
```


It is version a that is the most stable of them.


Version a
Compound: RbPdPt3
Source: the Alexandria database
Functional: PBE
Structure: relaxed Values from VASP.

- DOS(E_F) (states/eV per atom) = 1.4752
- M_tot (μB/atom) = 0.00

```
&SYSTEM
  ibrav = 0, nat = 5, ntyp = 3
/
ATOMIC_SPECIES
Rb 85.47 Rb.upf
Pd 106.42 Pd.upf
Pt 195.08 Pt.upf
ATOMIC_POSITIONS crystal
Rb 0.000 0.000 0.000
Pd 0.500 0.500 0.500
Pt 0.000 0.500 0.000
Pt 0.000 0.000 0.500
Pt 0.500 0.000 0.000
CELL_PARAMETERS angstrom
4.978 0.000 0.000
0.000 4.978 0.000
0.000 0.000 4.978
```


Version b
Compound: RbPdPt3
Source: the Alexandria database
Functional: PBE
Structure: relaxed Values from VASP.

- DOS(E_F) (states/eV per atom) = 1.3577
- M_tot (μB/atom) = 0.00

```
&SYSTEM
  ibrav = 0, nat = 5, ntyp = 3
/
ATOMIC_SPECIES
Rb 85.47 Rb.upf
Pd 106.42 Pd.upf
Pt 195.08 Pt.upf
ATOMIC_POSITIONS crystal
Rb 0.500 0.500 0.500
Pd 0.000 0.000 0.000
Pt 0.000 0.500 0.000
Pt 0.000 0.000 0.500
Pt 0.500 0.000 0.000
CELL_PARAMETERS angstrom
4.996 0.000 0.000
0.000 4.996 0.000
0.000 0.000 4.996
```


It is version b that is the most stable of them.


Version a
Compound: RbPdPt
Source: the Alexandria database
Functional: PBE
Structure: relaxed Values from VASP.

- DOS(E_F) (states/eV per atom) = 0.6410
- M_tot (μB/atom) = 0.00

```
&SYSTEM
  ibrav = 0, nat = 12, ntyp = 3
/
ATOMIC_SPECIES
Pt 195.08 Pt.upf
Pd 106.42 Pd.upf
Rb 85.47 Rb.upf
ATOMIC_POSITIONS crystal
Pt 0.626 0.391 0.091
Pt 0.374 0.609 0.909
Pt 0.126 0.109 0.591
Pt 0.874 0.891 0.409
Pd 0.275 0.308 0.850
Pd 0.725 0.692 0.150
Pd 0.225 0.808 0.650
Pd 0.775 0.192 0.350
Rb 0.293 0.963 0.177
Rb 0.793 0.537 0.677
Rb 0.707 0.037 0.823
Rb 0.207 0.463 0.323
CELL_PARAMETERS angstrom
6.534 0.000 0.181
0.000 8.349 0.000
-1.853 0.000 6.703
```


Version b
Compound: RbPdPt
Source: the Alexandria database
Functional: PBE
Structure: relaxed Values from VASP.

- DOS(E_F) (states/eV per atom) = 1.0882
- M_tot (μB/atom) = 0.00

```
&SYSTEM
  ibrav = 0, nat = 6, ntyp = 3
/
ATOMIC_SPECIES
Rb 85.47 Rb.upf
Pd 106.42 Pd.upf
Pt 195.08 Pt.upf
ATOMIC_POSITIONS crystal
Rb 0.180 0.930 0.506
Rb 0.414 0.463 0.090
Pd 0.704 0.883 0.098
Pd 0.890 0.511 0.498
Pt 0.090 0.112 0.913
Pt 0.505 0.281 0.683
CELL_PARAMETERS angstrom
4.472 -0.001 0.002
2.235 5.793 2.496
0.002 0.634 6.621
```


It is version b that is the most stable of them.